[1]
6
Lattice="6.0350 0.0000 0.0000 3.0175 5.2265 0.0000 3.0175 1.7422 4.9276" Properties=species:S:1:pos:R:3 comment="TlPtBr4 GGA-PBEsol relaxed" space_group="F-43m, No. 216" e_form_raw_ev_per_atom=0.80 pbc="T T T"
Tl 0.0000 0.0000 0.0000
Pt 9.0525 5.2265 3.6957
Br 6.0350 5.2127 1.8527
Br 6.0350 3.4843 4.2970
Br 4.5382 2.6202 1.8527
Br 7.5318 2.6202 1.8527


[2]
4
Lattice="2.8172 0.0000 0.0000 0.0000 2.8172 0.0000 0.0000 0.0000 10.9427" Properties=species:S:1:pos:R:3 comment="TlReHg2 GGA-PBEsol relaxed" formation_energy_ev_per_atom=0.73 space_group="P4mm, No. 99" e_above_lowest_polymorph_mev_per_atom=0 pbc="T T T"
Hg 0.0000 0.0000 0.1922
Hg 1.4086 1.4086 3.1215
Re 0.0000 0.0000 5.3172
Tl 1.4086 1.4086 7.7830


Number 1: M_tot 0.0 μB/cell. Number 2: M_tot 0.0 μB/cell.